No. 1
# Zr4HPb3

A geometry-optimized Zr4HPb3 structure (PBE, Alexandria).

abc: 4.4230 10.2621 8.6360
angles: 90.00 90.00 90.00
Atoms (fractional coordinates):
Zr 0.0643 0.8833 0.0000
Zr 0.5643 0.1092 0.0000
Zr 0.0643 0.1115 0.2539
Zr 0.5643 0.8885 0.2461
Zr 0.0643 0.8908 0.5000
Zr 0.5643 0.1167 0.5000
Zr 0.5643 0.8885 0.7539
Zr 0.0643 0.1115 0.7461
H 0.0643 0.0949 0.0000
H 0.5643 0.9051 0.5000
Pb 0.5645 0.6480 0.0000
Pb 0.0646 0.6362 0.2853
Pb 0.5646 0.3638 0.2147
Pb 0.0645 0.3520 0.5000
Pb 0.5646 0.3638 0.7853
Pb 0.0646 0.6362 0.7147

SG: Pmmn, No. 59
Final energy in eV/cell: -97.89

***

No. 2
# Sr2YTa

A geometry-optimized Sr2YTa structure (PBE, Alexandria).

abc: 6.4759 6.4759 6.4759
angles: 135.53 135.53 64.71
Atoms (fractional coordinates):
Sr 0.0000 0.0000 0.0000
Sr 0.5000 0.5000 0.0000
Ta 0.2500 0.7500 0.5000
Y 0.7500 0.2500 0.5000

SG: I4/mmm, No. 139
Calculated formation energy in eV per formula unit: 3.45

***

No. 3
# ZrAgBr

A geometry-optimized ZrAgBr structure (PBE, Alexandria).

abc: 4.6167 4.6167 4.6167
angles: 60.00 60.00 60.00
Atoms (fractional coordinates):
Br 0.7500 0.7500 0.7500
Zr 0.0000 0.0000 0.0000
Ag 0.5000 0.5000 0.5000

SG: F-43m, No. 216
Energy relative to the elements, uncorrected in meV per atom: 371.6

***

No. 4
# PuPaI

A geometry-optimized PuPaI structure (PBE, Alexandria).

abc: 3.9631 5.5017 7.4298
angles: 90.00 105.47 90.00
Atoms (fractional coordinates):
I 0.4111 0.2500 0.8223
I 0.5889 0.7500 0.1777
Pu 0.8947 0.7500 0.7894
Pu 0.1053 0.2500 0.2106
Pa 0.7246 0.2500 0.4491
Pa 0.2754 0.7500 0.5509

SG: Cmcm, No. 63
Energy relative to the elements, uncorrected in meV per atom: 36.2

***

No. 5
# Th4As2IrPt

A geometry-optimized Th4As2IrPt structure (PBE, Alexandria).

abc: 4.1311 7.6380 7.1514
angles: 72.06 90.00 90.00
Atoms (fractional coordinates):
Th 0.0000 0.7327 0.7594
Th 0.0000 0.2673 0.2405
Th 0.5000 0.7349 0.2489
Th 0.5000 0.2651 0.7511
As 0.0000 0.0000 0.0000
As 0.5000 0.0000 0.5000
Ir 0.5000 0.5000 0.0000
Pt 0.0000 0.5000 0.5000

SG: P2/m, No. 10
Calculated formation energy in eV per formula unit: -9.38

***

No. 6
# BeMoPd2Se

A geometry-optimized BeMoPd2Se structure (PBE, Alexandria).

abc: 4.1811 4.4994 4.1811
angles: 90.00 90.00 90.00
Atoms (fractional coordinates):
Be 0.0000 0.0000 0.0000
Mo 0.0000 0.5000 0.0000
Se 0.5000 0.5000 0.5000
Pd 0.0000 0.0000 0.5000
Pd 0.5000 0.0000 0.0000

SG: P4/mmm, No. 123
Energy relative to the elements, uncorrected in meV per atom: 433.5

***

No. 7
# BaNpPt4

A geometry-optimized BaNpPt4 structure (PBE, Alexandria).

abc: 5.5737 5.5737 5.5737
angles: 60.00 60.00 60.00
Atoms (fractional coordinates):
Np 0.2500 0.2500 0.2500
Ba 0.0000 0.0000 0.0000
Pt 0.6243 0.6243 0.1272
Pt 0.6243 0.1272 0.6243
Pt 0.6243 0.6243 0.6243
Pt 0.1272 0.6243 0.6243

SG: F-43m, No. 216
Calculated formation energy in eV per formula unit: -3.24

***

No. 8
# BaW2Cl

A geometry-optimized BaW2Cl structure (PBE, Alexandria).

abc: 4.9629 4.9629 4.9629
angles: 60.00 60.00 60.00
Atoms (fractional coordinates):
Ba 0.5000 0.5000 0.5000
W 0.0000 0.0000 0.0000
W 0.2500 0.2500 0.2500
Cl 0.7500 0.7500 0.7500

SG: F-43m, No. 216
Energy relative to the elements, uncorrected in meV per atom: 1277.8

***

No. 9
# Ca2Hg5Pb

A geometry-optimized Ca2Hg5Pb structure (PBE, Alexandria).

abc: 4.7737 6.6126 13.3422
angles: 90.00 90.00 90.00
Atoms (fractional coordinates):
Ca 0.5000 0.2554 0.6280
Ca 0.5000 0.7446 0.3720
Ca 0.5000 0.2446 0.1280
Ca 0.5000 0.7554 0.8720
Hg 0.0000 0.0000 0.0000
Hg 0.0000 0.5000 0.5000
Hg 0.0000 0.5013 0.7498
Hg 0.0000 0.4987 0.2502
Hg 0.0000 0.9987 0.2498
Hg 0.0000 0.0013 0.7502
Hg 0.5000 0.2504 0.8761
Hg 0.5000 0.7496 0.1239
Hg 0.5000 0.2496 0.3761
Hg 0.5000 0.7504 0.6239
Pb 0.0000 0.0000 0.5000
Pb 0.0000 0.5000 0.0000

SG: Pbam, No. 55
Calculated formation energy in eV per formula unit: -2.81

***

No. 10
# CrCd2P

A geometry-optimized CrCd2P structure (PBE, Alexandria).

abc: 8.4859 8.4859 8.4859
angles: 22.64 22.64 22.64
Atoms (fractional coordinates):
Cd 0.0089 0.0089 0.0089
Cd 0.2406 0.2406 0.2406
Cr 0.4840 0.4840 0.4840
P 0.7664 0.7664 0.7664

SG: R3m, No. 160
Calculated formation energy in eV per formula unit: 0.52

***

No. 11
# Ho8Er2Sc

A geometry-optimized Ho8Er2Sc structure (PBE, Alexandria).

abc: 5.5538 9.8715 9.8715
angles: 40.43 92.28 92.28
Atoms (fractional coordinates):
Ho 0.2626 0.1350 0.6060
Ho 0.2626 0.6060 0.1350
Ho 0.7374 0.8650 0.3940
Ho 0.2341 0.5464 0.5464
Ho 0.7374 0.3940 0.8650
Ho 0.2324 0.1843 0.1843
Ho 0.7676 0.8157 0.8157
Ho 0.7659 0.4536 0.4536
Er 0.7454 0.2831 0.2831
Er 0.2546 0.7169 0.7169
Sc 0.0000 0.0000 0.0000

SG: C2/m, No. 12
Calculated formation energy in eV per formula unit: 2.08

***

No. 12
# Fe2ReNi

A geometry-optimized Fe2ReNi structure (PBE, Alexandria).

abc: 4.1088 4.1088 4.1088
angles: 60.00 60.00 60.00
Atoms (fractional coordinates):
Fe 0.0000 0.0000 0.0000
Fe 0.7500 0.7500 0.7500
Ni 0.5000 0.5000 0.5000
Re 0.2500 0.2500 0.2500

SG: F-43m, No. 216
Calculated formation energy in eV per formula unit: 0.67

***

| no. | spin magnetization (μB/cell) |
| --- | --- |
| 1 | 0.00 |
| 2 | 1.91 |
| 3 | 0.00 |
| 4 | 10.32 |
| 5 | 0.00 |
| 6 | 0.00 |
| 7 | 3.99 |
| 8 | 0.05 |
| 9 | 0.00 |
| 10 | 2.80 |
| 11 | 0.00 |
| 12 | 4.10 |